Compound: KAuS5
Source: the Alexandria database
Functional: PBE
Structure: optimized geometry

Magnetic moment, μB/f.u.: 0.00
Energy relative to the elements, uncorrected, eV/atom: -0.29
Fermi-level density of states, states/eV/atom: 0.00

Cell: 6.319 6.452 12.327 Å, 77.30 76.20 77.76°
Fractional coordinates of all 14 atoms:
K 0.111 0.391 0.254
K 0.889 0.609 0.746
Au 0.000 0.000 0.500
Au 0.500 0.500 0.000
S 0.178 0.719 0.405
S 0.211 0.660 0.908
S 0.320 0.851 0.242
S 0.340 0.822 0.749
S 0.353 0.135 0.763
S 0.647 0.865 0.237
S 0.660 0.178 0.251
S 0.680 0.149 0.758
S 0.789 0.340 0.092
S 0.822 0.281 0.595

---

Compound: BeTc2Ru
Source: the Alexandria database
Functional: PBE
Structure: optimized geometry

Magnetic moment, μB/f.u.: 0.00
Fermi-level density of states, states/eV/atom: 1.05
Formation energy from the elements, meV/atom: 196.1

Cell: 2.655 2.655 8.280 Å, 90.00 90.00 114.49°
Fractional coordinates of all 4 atoms:
Be 0.000 0.000 0.000
Tc 0.000 0.000 0.503
Tc 0.500 0.500 0.234
Ru 0.500 0.500 0.779

---

Compound: CaBeRh2
Source: the Alexandria database
Functional: PBE
Structure: optimized geometry

Magnetic moment, μB/f.u.: 0.00
Fermi-level density of states, states/eV/atom: 1.10
Formation energy from the elements, meV/atom: -152.6

Cell: 3.112 3.112 6.627 Å, 90.00 90.00 90.00°
Fractional coordinates of all 4 atoms:
Ca 0.000 0.000 0.000
Be 0.500 0.500 0.648
Rh 0.000 0.000 0.557
Rh 0.500 0.500 0.285

---

Number 1: uncorrected energy -0.142 hartree per atom. Number 2: uncorrected energy -0.303 hartree per atom. Number 3: uncorrected energy -0.193 hartree per atom.